Entry 1:
DFT (PBE) results for a relaxed structure of Rb2CuS2.

Values from the calculation:
- Symmetry: C2/m, No. 12
- Uncorrected energy: -3.44 eV per atom
- Volume: 27.753 A^3/atom

Cell lengths 6.2081, 6.2081, 6.6611 Å; angles 103.01, 103.01, 33.79 degrees
Atoms (fractional coordinates):
Rb1 0.1606 0.1606 0.2075
Rb2 0.8394 0.8394 0.7925
Cu1 0.5000 0.5000 0.5000
S1 0.1019 0.1019 0.6924
S2 0.8981 0.8981 0.3076

=====

Entry 2:
DFT (PBE) results for a relaxed structure of Rb2Cu3S4.

Values from the calculation:
- Symmetry: Ibam, No. 72
- Uncorrected energy: -3.81 eV per atom
- Volume: 22.520 A^3/atom

Cell lengths 8.9816, 8.9816, 8.9816 Å; angles 143.47, 103.11, 88.26 degrees
Atoms (fractional coordinates):
Rb1 0.1220 0.2350 0.3570
Rb2 0.3780 0.7350 0.1131
Rb3 0.6220 0.2650 0.8869
Rb4 0.8780 0.7650 0.6430
Cu1 0.0141 0.2500 0.7641
Cu2 0.2500 0.7500 0.5000
Cu3 0.4859 0.2500 0.2359
Cu4 0.5141 0.7500 0.7641
Cu5 0.7500 0.2500 0.5000
Cu6 0.9859 0.7500 0.2359
S1 0.0247 0.4267 0.1415
S2 0.2148 0.0733 0.5980
S3 0.2852 0.8832 0.8585
S4 0.4753 0.6168 0.4020
S5 0.5247 0.3832 0.5980
S6 0.7148 0.1168 0.1415
S7 0.7852 0.9267 0.4020
S8 0.9753 0.5733 0.8585

=====

> uncorrected energy of number 1 (Rb2CuS2)?

-3.44 eV per atom